Arrangement one

Here is LiSnHg4 after structural relaxation from Alexandria via LeMat-Bulk. Energies are from PBE.

Output
As for the magnetic moment: 0.00 μB per formula unit.

a b c (Å): 6.0140 6.0140 6.0140
angles (deg): 60.00 60.00 60.00
With the nearest neighbours (Å) after each atom.
Sites, in units of the cell vectors:
1 Li 0.0000 0.0000 0.0000  12 Hg 3.52, 4 Sn 3.68
2 Sn 0.2500 0.2500 0.2500  12 Hg 3.53, 4 Li 3.68
3 Hg 0.1236 0.6255 0.6255  6 Hg 3.00-3.02
4 Hg 0.6255 0.1236 0.6255  6 Hg 3.00-3.02
5 Hg 0.6255 0.6255 0.1236  6 Hg 3.00-3.02
6 Hg 0.6255 0.6255 0.6255  6 Hg 3.00-3.02



Arrangement two

Here is LiSnHg4 after structural relaxation from Alexandria via LeMat-Bulk. Energies are from PBE.

Output
As for the magnetic moment: 0.00 μB per formula unit.

a b c (Å): 4.8336 4.8336 8.0813
angles (deg): 103.42 103.42 59.96
With the nearest neighbours (Å) after each atom.
Sites, in units of the cell vectors:
1 Li 0.0000 0.0000 0.0000  8 Hg 2.75-2.90
2 Sn 0.5000 0.5000 0.5000  8 Hg 3.01-3.16
3 Hg 0.1249 0.1249 0.3514  1 Li 2.75, 3 Sn 3.01-3.05
4 Hg 0.3599 0.3599 0.0957  3 Li 2.88-2.90, 4 Hg 3.14-3.21, 1 Sn 3.16
5 Hg 0.6401 0.6401 0.9043  3 Li 2.88-2.90, 4 Hg 3.14-3.21, 1 Sn 3.16
6 Hg 0.8751 0.8751 0.6486  1 Li 2.75, 3 Sn 3.01-3.05



Stability, lowest: arrangement one



Arrangement one

Here is Li4Sn2Hg3 after structural relaxation from Alexandria via LeMat-Bulk. Energies are from PBE.

Output
As for the magnetic moment: 0.00 μB per formula unit.

a b c (Å): 5.3020 5.3020 9.0424
angles (deg): 105.88 105.88 49.22
With the nearest neighbours (Å) after each atom.
Sites, in units of the cell vectors:
1 Li 0.0196 0.0196 0.3369  6 Hg 2.98-3.07, 3 Sn 3.06-3.08, 3 Li 3.08-3.12
2 Li 0.3464 0.3464 0.1133  4 Hg 2.92-3.19, 4 Sn 2.97-3.12, 4 Li 3.12-3.20
3 Li 0.6536 0.6536 0.8867  4 Hg 2.92-3.19, 4 Sn 2.97-3.12, 4 Li 3.12-3.20
4 Li 0.9804 0.9804 0.6631  6 Hg 2.98-3.07, 3 Sn 3.06-3.08, 3 Li 3.08-3.12
5 Sn 0.3137 0.3137 0.7760  7 Li 2.97-3.12, 5 Hg 3.01-3.18
6 Sn 0.6863 0.6863 0.2240  7 Li 2.97-3.12, 5 Hg 3.01-3.18
7 Hg 0.0000 0.0000 0.0000  8 Li 3.00-3.19, 4 Sn 3.16
8 Hg 0.3436 0.3436 0.4350  1 Hg 2.89, 6 Li 2.92-3.07, 3 Sn 3.01-3.18
9 Hg 0.6564 0.6564 0.5650  1 Hg 2.89, 6 Li 2.92-3.07, 3 Sn 3.01-3.18



Arrangement two

Here is Li4Sn2Hg3 after structural relaxation from Alexandria via LeMat-Bulk. Energies are from PBE.

Output
As for the magnetic moment: 0.00 μB per formula unit.

a b c (Å): 7.9873 7.9873 8.2254
angles (deg): 90.00 90.00 134.07
With the nearest neighbours (Å) after each atom.
Sites, in units of the cell vectors:
1 Li 0.1818 0.8182 0.9635  5 Hg 2.69-2.87
2 Li 0.2185 0.2815 0.7500  3 Hg 2.62-2.73
3 Li 0.2815 0.2185 0.2500  3 Hg 2.62-2.73
4 Li 0.3182 0.6818 0.4635  5 Hg 2.69-2.87
5 Li 0.6818 0.3182 0.5365  5 Hg 2.69-2.87
6 Li 0.7185 0.7815 0.7500  3 Hg 2.62-2.73
7 Li 0.7815 0.7185 0.2500  3 Hg 2.62-2.73
8 Li 0.8182 0.1818 0.0365  5 Hg 2.69-2.87
9 Sn 0.1119 0.8881 0.5632  7 Li 3.04-3.29, 4 Hg 3.33-3.39
10 Sn 0.3881 0.6119 0.0632  7 Li 3.04-3.29, 4 Hg 3.33-3.39
11 Sn 0.6119 0.3881 0.9368  7 Li 3.04-3.29, 4 Hg 3.33-3.39
12 Sn 0.8881 0.1119 0.4368  7 Li 3.04-3.29, 4 Hg 3.33-3.39
13 Hg 0.0000 0.0000 0.0000  6 Li 2.62-2.69
14 Hg 0.0326 0.4674 0.7500  5 Li 2.73-2.87
15 Hg 0.4674 0.0326 0.2500  5 Li 2.73-2.87
16 Hg 0.5000 0.5000 0.5000  6 Li 2.62-2.69
17 Hg 0.5326 0.9674 0.7500  5 Li 2.73-2.87
18 Hg 0.9674 0.5326 0.2500  5 Li 2.73-2.87



Stability, lowest: arrangement two



Arrangement one

Here is SrLiSnHg after structural relaxation from Alexandria via LeMat-Bulk. Energies are from PBE.

Output
As for the magnetic moment: 0.00 μB per formula unit.

a b c (Å): 4.9216 4.9216 5.2875
angles (deg): 90.21 90.21 59.97
With the nearest neighbours (Å) after each atom.
Sites, in units of the cell vectors:
1 Sr 0.0000 0.0000 0.0000  3 Li 3.16, 3 Hg 3.17
2 Li 0.3342 0.3342 0.2622  2 Hg 2.50-2.79
3 Sn 0.6667 0.6667 0.4663  3 Li 3.03-3.04, 3 Hg 3.17-3.19
4 Hg 0.3325 0.3325 0.7344  2 Li 2.50-2.79



Arrangement two

Here is SrLiSnHg after structural relaxation from Alexandria via LeMat-Bulk. Energies are from PBE.

Output
As for the magnetic moment: 0.00 μB per formula unit.

a b c (Å): 5.3455 5.3455 5.3455
angles (deg): 60.00 60.00 60.00
With the nearest neighbours (Å) after each atom.
Sites, in units of the cell vectors:
1 Sr 0.0000 0.0000 0.0000  4 Sn 3.27, 4 Hg 3.27
2 Li 0.5000 0.5000 0.5000  4 Hg 3.27, 4 Sn 3.27
3 Sn 0.7500 0.7500 0.7500  4 Sr 3.27, 4 Li 3.27
4 Hg 0.2500 0.2500 0.2500  4 Li 3.27, 4 Sr 3.27



Stability, lowest: arrangement one